No. 1
## Sm4CdAu (PBE)

Data for a relaxed structure of Sm4CdAu.

Output
space-group type: P2_1/c (14)
N(E_F): 10.29 states/eV/cell
calculated formation energy: -0.210 eV per atom

```
Sm4CdAu
1.0
6.3237 0.0000 0.0000
0.0000 9.2672 0.0000
-1.6670 0.0000 5.9727
Sm Cd Au
8 2 2
direct
0.0998 0.1654 0.1108 Sm
0.0998 0.3346 0.6108 Sm
0.3878 0.6568 0.9170 Sm
0.3878 0.8432 0.4170 Sm
0.6122 0.1568 0.5830 Sm
0.6122 0.3432 0.0830 Sm
0.9002 0.6654 0.3892 Sm
0.9002 0.8346 0.8892 Sm
0.5000 0.0000 0.0000 Cd
0.5000 0.5000 0.5000 Cd
0.0000 0.0000 0.5000 Au
0.0000 0.5000 0.0000 Au
```



No. 2
## LaTlCd4 (PBE)

Data for a relaxed structure of LaTlCd4.

Output
space-group type: F-43m (216)
N(E_F): 3.38 states/eV/cell
calculated formation energy: -0.165 eV per atom

```
LaTlCd4
1.0
0.0000 4.2873 4.2873
4.2873 0.0000 4.2873
4.2873 4.2873 0.0000
La Tl Cd
1 1 4
direct
0.0000 0.0000 0.0000 La
0.7500 0.7500 0.7500 Tl
0.3746 0.3746 0.3746 Cd
0.3746 0.3746 0.8761 Cd
0.3746 0.8761 0.3746 Cd
0.8761 0.3746 0.3746 Cd
```



Copy entry 2 word for word.
## LaTlCd4 (PBE)

Data for a relaxed structure of LaTlCd4.

Output
space-group type: F-43m (216)
N(E_F): 3.38 states/eV/cell
calculated formation energy: -0.165 eV per atom

```
LaTlCd4
1.0
0.0000 4.2873 4.2873
4.2873 0.0000 4.2873
4.2873 4.2873 0.0000
La Tl Cd
1 1 4
direct
0.0000 0.0000 0.0000 La
0.7500 0.7500 0.7500 Tl
0.3746 0.3746 0.3746 Cd
0.3746 0.3746 0.8761 Cd
0.3746 0.8761 0.3746 Cd
0.8761 0.3746 0.3746 Cd
```



Which of these has the highest N(E_F)? Sm4CdAu



Which value of N(E_F) does entry 2 give? 3.38 states/eV/cell



Among the records above, which one has the lowest calculated formation energy? Sm4CdAu